Below is ZnRuCl after structural relaxation, with properties calculated at the GGA-PBE level.

a = 6.2011 Å, b = 6.2011 Å, c = 6.2011 Å
α = 152.00°, β = 152.00°, γ = 40.02°
With the nearest neighbours (Å) after each atom.
Atoms (fractional coordinates):
1 Ru 0.6713 0.6713 0.0000  4 Zn 2.61, 4 Cl 2.70
2 Cl 0.0274 0.0274 0.0000  4 Ru 2.70, 4 Cl 3.00
3 Zn 0.3013 0.3013 0.0000  4 Ru 2.61

Results
M_tot	1.4	Bohr magnetons per cell
raw formation energy	0.30	eV per atom

=====

Below is ZnRu2Cl after structural relaxation, with properties calculated at the GGA-PBE level.

a = 4.8399 Å, b = 4.8399 Å, c = 4.8399 Å
α = 132.19°, β = 132.19°, γ = 69.92°
With the nearest neighbours (Å) after each atom.
Atoms (fractional coordinates):
1 Ru 0.5000 0.5000 0.0000  4 Ru 2.77, 4 Zn 2.79, 4 Cl 2.79
2 Ru 0.0000 0.0000 0.0000  4 Ru 2.77, 4 Cl 2.79, 4 Zn 2.79
3 Cl 0.7500 0.2500 0.5000  4 Zn 2.77, 8 Ru 2.79
4 Zn 0.2500 0.7500 0.5000  4 Cl 2.77, 8 Ru 2.79

Results
M_tot	2.5	Bohr magnetons per cell
raw formation energy	0.88	eV per atom

=====

Below is Zn3RuCl after structural relaxation, with properties calculated at the GGA-PBE level.

a = 4.8853 Å, b = 4.8853 Å, c = 4.8853 Å
α = 90.00°, β = 90.00°, γ = 90.00°
With the nearest neighbours (Å) after each atom.
Atoms (fractional coordinates):
1 Cl 0.5000 0.5000 0.5000  12 Zn 3.45
2 Ru 0.0000 0.0000 0.0000  6 Zn 2.44
3 Zn 0.5000 0.0000 0.0000  2 Ru 2.44
4 Zn 0.0000 0.5000 0.0000  2 Ru 2.44
5 Zn 0.0000 0.0000 0.5000  2 Ru 2.44

Results
M_tot	0.9	Bohr magnetons per cell
raw formation energy	0.47	eV per atom

=====

Below is ZrRu2Cl after structural relaxation, with properties calculated at the GGA-PBE level.

a = 5.0207 Å, b = 5.0207 Å, c = 3.1484 Å
α = 90.00°, β = 90.00°, γ = 120.26°
With the nearest neighbours (Å) after each atom.
Atoms (fractional coordinates):
1 Ru 0.5000 0.5000 0.0000  2 Ru 2.50
2 Ru 0.0000 0.0000 0.0000  2 Ru 2.50
3 Cl 0.0000 0.5000 0.5000  2 Zr 2.50
4 Zr 0.5000 0.0000 0.5000  2 Cl 2.50

Results
M_tot	0.0	Bohr magnetons per cell
raw formation energy	0.37	eV per atom

=====

Below is Zr4RuCl after structural relaxation, with properties calculated at the GGA-PBE level.

a = 5.6749 Å, b = 5.6749 Å, c = 5.6749 Å
α = 60.00°, β = 60.00°, γ = 60.00°
With the nearest neighbours (Å) after each atom.
Atoms (fractional coordinates):
1 Zr 0.3728 0.3728 0.3728  6 Zr 2.79-2.89
2 Zr 0.8816 0.3728 0.3728  6 Zr 2.79-2.89
3 Zr 0.3728 0.3728 0.8816  6 Zr 2.79-2.89
4 Zr 0.3728 0.8816 0.3728  6 Zr 2.79-2.89
5 Cl 0.7500 0.7500 0.7500  12 Zr 3.33, 4 Ru 3.48
6 Ru 0.0000 0.0000 0.0000  12 Zr 3.32, 4 Cl 3.48

Results
M_tot	0.0	Bohr magnetons per cell
raw formation energy	0.66	eV per atom

=====

Below is ZrRu2Cl after structural relaxation, with properties calculated at the GGA-PBE level.

a = 5.2657 Å, b = 5.2657 Å, c = 4.3517 Å
α = 88.00°, β = 88.00°, γ = 33.54°
With the nearest neighbours (Å) after each atom.
Atoms (fractional coordinates):
1 Cl 0.2500 0.2500 0.2500  2 Ru 2.53, 4 Zr 2.65
2 Ru 0.4680 0.4680 0.5204  1 Cl 2.53, 2 Ru 2.61, 2 Zr 2.82
3 Ru 0.0320 0.0320 0.9796  1 Cl 2.53, 2 Ru 2.61, 2 Zr 2.82
4 Zr 0.7500 0.7500 0.7500  4 Cl 2.65, 4 Ru 2.82

Results
M_tot	0.0	Bohr magnetons per cell
raw formation energy	-0.01	eV per atom

=====

Below is ZrRu3Cl after structural relaxation, with properties calculated at the GGA-PBE level.

a = 4.9290 Å, b = 4.9290 Å, c = 4.9290 Å
α = 90.00°, β = 90.00°, γ = 90.00°
With the nearest neighbours (Å) after each atom.
Atoms (fractional coordinates):
1 Ru 0.0000 0.0000 0.5000  2 Zr 2.46
2 Ru 0.5000 0.0000 0.0000  2 Zr 2.46
3 Ru 0.0000 0.5000 0.0000  2 Zr 2.46
4 Cl 0.5000 0.5000 0.5000  12 Ru 3.49
5 Zr 0.0000 0.0000 0.0000  6 Ru 2.46

Results
M_tot	4.9	Bohr magnetons per cell
raw formation energy	1.77	eV per atom

=====

Below is ZrRu2Cl after structural relaxation, with properties calculated at the GGA-PBE level.

a = 3.0004 Å, b = 3.6255 Å, c = 7.6204 Å
α = 90.00°, β = 90.00°, γ = 90.00°
With the nearest neighbours (Å) after each atom.
Atoms (fractional coordinates):
1 Ru 0.5000 0.5000 0.2361  4 Ru 2.51
2 Ru 0.0000 0.0000 0.1203  4 Ru 2.51, 1 Zr 2.63
3 Zr 0.0000 0.0000 0.4652  5 Ru 2.63-2.93, 4 Cl 2.86
4 Cl 0.5000 0.5000 0.6784  4 Zr 2.86, 2 Cl 3.00

Results
M_tot	0.0	Bohr magnetons per cell
raw formation energy	-0.14	eV per atom

=====

Below is ZrRuCl2 after structural relaxation, with properties calculated at the GGA-PBE level.

a = 10.3946 Å, b = 10.3946 Å, c = 10.3946 Å
α = 17.42°, β = 17.42°, γ = 17.42°
With the nearest neighbours (Å) after each atom.
Atoms (fractional coordinates):
1 Zr 0.7500 0.7500 0.7500  6 Cl 2.61
2 Cl 0.4778 0.4778 0.4778  3 Zr 2.61
3 Cl 0.0222 0.0222 0.0222  3 Zr 2.61
4 Ru 0.2500 0.2500 0.2500  6 Ru 3.15

Results
M_tot	3.0	Bohr magnetons per cell
raw formation energy	-0.17	eV per atom

=====

Below is ZrRu2Cl after structural relaxation, with properties calculated at the GGA-PBE level.

a = 4.6866 Å, b = 2.9464 Å, c = 4.7062 Å
α = 86.69°, β = 90.00°, γ = 90.00°
With the nearest neighbours (Å) after each atom.
Atoms (fractional coordinates):
1 Ru 0.0000 0.5347 0.5129  3 Ru 2.63-2.71, 2 Cl 2.69, 2 Zr 2.80
2 Ru 0.0000 0.9653 0.9871  3 Ru 2.63-2.71, 2 Cl 2.69, 2 Zr 2.80
3 Cl 0.5000 0.7500 0.7500  4 Ru 2.69, 4 Zr 2.70-2.85, 2 Cl 2.95
4 Zr 0.5000 0.2500 0.2500  4 Cl 2.70-2.85, 4 Ru 2.80, 2 Zr 2.95

Results
M_tot	0.0	Bohr magnetons per cell
raw formation energy	0.14	eV per atom

=====

Below is ZrRu2Cl after structural relaxation, with properties calculated at the GGA-PBE level.

a = 8.3619 Å, b = 8.3619 Å, c = 8.3619 Å
α = 21.59°, β = 21.59°, γ = 21.59°
With the nearest neighbours (Å) after each atom.
Atoms (fractional coordinates):
1 Ru 0.9999 0.9999 0.9999  3 Zr 2.73, 3 Cl 2.73
2 Ru 0.5001 0.5001 0.5001  3 Zr 2.73, 3 Cl 2.73
3 Cl 0.7500 0.7500 0.7500  6 Ru 2.73
4 Zr 0.2500 0.2500 0.2500  6 Ru 2.73

Results
M_tot	0.0	Bohr magnetons per cell
raw formation energy	0.23	eV per atom

=====

Below is ZrRu2Cl after structural relaxation, with properties calculated at the GGA-PBE level.

a = 4.5730 Å, b = 4.5730 Å, c = 8.0856 Å
α = 73.57°, β = 73.57°, γ = 90.00°
With the nearest neighbours (Å) after each atom.
Atoms (fractional coordinates):
1 Ru 0.2252 0.6250 0.2500  2 Cl 2.28
2 Ru 0.5248 0.1250 0.2500  2 Cl 2.28
3 Ru 0.3750 0.4752 0.7500  2 Cl 2.28
4 Ru 0.8750 0.7748 0.7500  2 Cl 2.28
5 Cl 0.5000 0.5000 0.0000  4 Ru 2.28
6 Cl 0.2500 0.7500 0.5000  4 Ru 2.28
7 Zr 0.7500 0.2500 0.5000  4 Ru 2.70
8 Zr 0.0000 0.0000 0.0000  4 Ru 2.70

Results
M_tot	0.0	Bohr magnetons per cell
raw formation energy	0.56	eV per atom

=====

What is the raw formation energy in the tenth record?
0.14 eV per atom

=====

raw formation energy of number 5 (Zr4RuCl)?
0.66 eV per atom

=====

What is the formula in the seventh record?
ZrRu3Cl

=====

Which value of M_tot does entry 3 give?
0.9 Bohr magnetons per cell